Entry 1:
{"formula": "AlInN3", "functional": "meta-GGA SCAN", "state": "single point on PBEsol structure", "cell": [[4.1522, 0.0000, 0.0000], [0.0000, 4.1522, 0.0000], [0.0000, 0.0000, 4.1522]], "species": ["N", "N", "N", "Al", "In"], "fractional_positions": [[0.0000, 0.5000, 0.0000], [0.0000, 0.0000, 0.5000], [0.5000, 0.0000, 0.0000], [0.5000, 0.5000, 0.5000], [0.0000, 0.0000, 0.0000]], "volume_a3_per_cell": 71.6, "e_tot_ev_per_atom": -11.907, "formation_energy_uncorrected_mev_per_atom": 1895}


Entry 2:
{"formula": "Nb12Al3In", "functional": "meta-GGA SCAN", "state": "single point on PBEsol structure", "cell": [[5.1851, 0.0000, 0.0000], [0.0000, 5.1992, 0.0000], [0.0000, 0.0000, 10.3515]], "species": ["Nb", "Nb", "Nb", "Nb", "Nb", "Nb", "Nb", "Nb", "Nb", "Nb", "Nb", "Nb", "Al", "Al", "Al", "In"], "fractional_positions": [[0.5000, 0.0000, 0.3702], [0.5000, 0.0000, 0.8747], [0.7552, 0.5000, 0.0000], [0.7416, 0.5000, 0.5000], [0.0000, 0.7456, 0.2435], [0.0000, 0.7456, 0.7565], [0.5000, 0.0000, 0.1253], [0.5000, 0.0000, 0.6298], [0.2448, 0.5000, 0.0000], [0.2584, 0.5000, 0.5000], [0.0000, 0.2544, 0.2435], [0.0000, 0.2544, 0.7565], [0.5000, 0.5000, 0.2502], [0.5000, 0.5000, 0.7498], [0.0000, 0.0000, 0.0000], [0.0000, 0.0000, 0.5000]], "volume_a3_per_cell": 279.1, "e_tot_ev_per_atom": -28.577, "delta_e_f_ev_per_atom": -0.189}


Entry 3:
{"formula": "AlIn2Ni", "functional": "meta-GGA SCAN", "state": "single point on PBEsol structure", "cell": [[-1.6127, -0.9179, 3.2665], [1.5799, -3.6633, -0.2494], [4.7639, 2.0032, 0.7545]], "species": ["Ni", "Al", "In", "In"], "fractional_positions": [[0.6926, 0.0000, 0.3851], [0.5599, 0.5000, 0.1198], [0.9702, 0.0000, 0.9405], [0.2754, 0.5000, 0.5508]], "volume_a3_per_cell": 73.2, "e_tot_ev_per_atom": -22.705, "delta_e_f_ev_per_atom": -0.030}